(1)
# Hf4CuNiN2 PBE-GGA optimized geometry
# V in Å³ per atom: 15.47
# E_tot in eV for the cell shown: -71.84
# Total magnetic moment in μB/f.u.: 0.00
# Space group: Pm, No. 6
data_Hf4CuNiN2
_cell_length_a 5.8439
_cell_length_b 3.1447
_cell_length_c 7.3360
_cell_angle_alpha 90.00
_cell_angle_beta 113.35
_cell_angle_gamma 90.00
_symmetry_space_group_name_H-M 'P 1'
_symmetry_Int_Tables_number 1
loop_
_symmetry_equiv_pos_as_xyz
'x,y,z'
loop_
_atom_site_label
_atom_site_fract_x
_atom_site_fract_y
_atom_site_fract_z
Hf1 0.0000 0.0000 0.0000
Hf2 0.0243 0.0000 0.5879
Hf3 0.5504 0.5000 0.5951
Hf4 0.6038 0.5000 0.2026
Cu1 0.4805 0.0000 0.8818
Ni1 0.0921 0.5000 0.3110
N1 0.6227 0.0000 0.4134
N2 0.9535 0.5000 0.7771



(2)
# Cs2CuSnI6 PBE-GGA optimized geometry
# V in Å³ per atom: 41.32
# E_tot in eV for the cell shown: -53.52
# Space group: P1, No. 1
data_Cs2CuSnI6
_cell_length_a 8.3504
_cell_length_b 8.3505
_cell_length_c 11.8512
_cell_angle_alpha 89.99
_cell_angle_beta 89.98
_cell_angle_gamma 89.98
_symmetry_space_group_name_H-M 'P 1'
_symmetry_Int_Tables_number 1
loop_
_symmetry_equiv_pos_as_xyz
'x,y,z'
loop_
_atom_site_label
_atom_site_fract_x
_atom_site_fract_y
_atom_site_fract_z
Cs1 0.0000 0.0000 0.0000
Cs2 0.0000 0.0000 0.5000
Cs3 0.4992 0.4998 0.4995
Cs4 0.4998 0.5001 0.0006
Cu1 0.5004 0.0003 0.2500
Cu2 0.9994 0.4998 0.7500
Sn1 0.5002 0.9999 0.7500
Sn2 0.9993 0.5001 0.2500
I1 0.0001 0.4975 0.5086
I2 0.2302 0.7514 0.7493
I3 0.2516 0.2702 0.7517
I4 0.2528 0.2349 0.2484
I5 0.2643 0.7535 0.2508
I6 0.4992 0.0023 0.4914
I7 0.5011 0.9977 0.0087
I8 0.7342 0.2467 0.2493
I9 0.7459 0.7653 0.2516
I10 0.7488 0.7298 0.7484
I11 0.7702 0.2485 0.7507
I12 0.9987 0.5024 0.9914



(3)
# PmAlAg PBE-GGA optimized geometry
# V in Å³ per atom: 27.62
# E_tot in eV for the cell shown: -41.73
# Total magnetic moment in μB/f.u.: 0.02
# Space group: F-43m, No. 216
data_PmAlAg
_cell_length_a 6.9204
_cell_length_b 6.9204
_cell_length_c 6.9204
_cell_angle_alpha 90.00
_cell_angle_beta 90.00
_cell_angle_gamma 90.00
_symmetry_space_group_name_H-M 'P 1'
_symmetry_Int_Tables_number 1
loop_
_symmetry_equiv_pos_as_xyz
'x,y,z'
loop_
_atom_site_label
_atom_site_fract_x
_atom_site_fract_y
_atom_site_fract_z
Pm1 0.0000 0.0000 0.0000
Pm2 0.0000 0.5000 0.5000
Pm3 0.5000 0.0000 0.5000
Pm4 0.5000 0.5000 0.0000
Al1 0.2500 0.2500 0.2500
Al2 0.2500 0.7500 0.7500
Al3 0.7500 0.2500 0.7500
Al4 0.7500 0.7500 0.2500
Ag1 0.2500 0.2500 0.7500
Ag2 0.2500 0.7500 0.2500
Ag3 0.7500 0.2500 0.2500
Ag4 0.7500 0.7500 0.7500